A plane-wave DFT calculation with PBE-GGA was carried out for a relaxed ScIn2Pt crystal.

Cell: 3.8647 3.5631 6.7202 Å, 73.96 90.00 90.00°
With the nearest neighbours (Å) after each atom.
Fractional coordinates of all 4 atoms:
In: 0.0000 0.0652 0.9928  1 Pt 2.79, 4 In 3.09-3.10
In: 0.5000 0.4347 0.2459  2 Pt 2.80, 4 In 3.09-3.10
Pt: 0.0000 0.2868 0.5604  4 Sc 2.78, 3 In 2.79-2.80
Sc: 0.5000 0.7133 0.7009  4 Pt 2.78

Values from the calculation:
* VASP energy: -4.993 eV per atom
* space group: No. 6
* E_form: -0.531 eV/atom

A plane-wave DFT calculation with PBE-GGA was carried out for a relaxed ScIn2Pt crystal.

Cell: 4.8165 4.8165 4.8165 Å, 60.00 60.00 60.00°
With the nearest neighbours (Å) after each atom.
Fractional coordinates of all 4 atoms:
Sc: 0.0000 0.0000 0.0000  8 In 2.95
Pt: 0.5000 0.5000 0.5000  8 In 2.95
In: 0.2500 0.2500 0.2500  4 Sc 2.95, 4 Pt 2.95
In: 0.7500 0.7500 0.7500  4 Sc 2.95, 4 Pt 2.95

Values from the calculation:
* VASP energy: -4.905 eV per atom
* space group: No. 225
* E_form: -0.443 eV/atom

A plane-wave DFT calculation with PBE-GGA was carried out for a relaxed ScIn3Pt crystal.

Cell: 5.4283 5.4283 5.4283 Å, 90.00 90.00 90.00°
With the nearest neighbours (Å) after each atom.
Fractional coordinates of all 5 atoms:
Sc: 0.0000 0.0000 0.0000  6 In 2.71
Pt: 0.5000 0.5000 0.5000  12 In 3.84
In: 0.0000 0.5000 0.0000  2 Sc 2.71
In: 0.0000 0.0000 0.5000  2 Sc 2.71
In: 0.5000 0.0000 0.0000  2 Sc 2.71

Values from the calculation:
* VASP energy: -3.155 eV per atom
* energy relative to the lowest polymorph listed for this composition: 938.1 meV per atom
* space group: No. 221
* E_form: 0.963 eV/atom

A plane-wave DFT calculation with PBE-GGA was carried out for a relaxed Sc2InPt3 crystal.

Cell: 4.6604 4.6605 11.4534 Å, 90.00 90.00 120.00°
With the nearest neighbours (Å) after each atom.
Fractional coordinates of all 12 atoms:
Sc: 0.0000 0.0000 0.5000  8 Pt 2.83-2.94
Sc: 0.3333 0.6667 0.1725  8 Pt 2.80-2.92
Sc: 0.6667 0.3333 0.8275  8 Pt 2.80-2.92
Sc: 0.0000 0.0000 0.0000  8 Pt 2.78-2.82
In: 0.3333 0.6667 0.6693  8 Pt 2.82-2.96
In: 0.6667 0.3333 0.3307  8 Pt 2.82-2.96
Pt: 0.3333 0.6667 0.4230  4 In 2.82-2.89, 4 Sc 2.83-2.87
Pt: 0.6667 0.3333 0.0724  7 Sc 2.80-2.92, 1 In 2.96
Pt: 0.0000 0.0000 0.7571  5 Sc 2.78-2.94, 3 In 2.87
Pt: 0.0000 0.0000 0.2429  5 Sc 2.78-2.94, 3 In 2.87
Pt: 0.3333 0.6667 0.9276  7 Sc 2.80-2.92, 1 In 2.96
Pt: 0.6667 0.3333 0.5770  4 In 2.82-2.89, 4 Sc 2.83-2.87

Values from the calculation:
* VASP energy: -6.630 eV per atom
* space group: No. 164
* E_form: -1.043 eV/atom

A plane-wave DFT calculation with PBE-GGA was carried out for a relaxed Sc5InPt4 crystal.

Cell: 3.2549 3.2549 17.7770 Å, 90.00 90.00 90.00°
With the nearest neighbours (Å) after each atom.
Fractional coordinates of all 10 atoms:
Sc: 0.5000 0.5000 0.1198  4 Pt 2.85, 4 In 3.14
Sc: 0.5000 0.5000 0.3098  8 Pt 2.86
Sc: 0.5000 0.5000 0.5000  8 Pt 2.86
Sc: 0.5000 0.5000 0.6902  8 Pt 2.86
Sc: 0.5000 0.5000 0.8802  4 Pt 2.85, 4 In 3.14
In: 0.0000 0.0000 0.0000  8 Sc 3.14, 4 In 3.25
Pt: 0.0000 0.0000 0.2140  8 Sc 2.85-2.86
Pt: 0.0000 0.0000 0.4049  8 Sc 2.86
Pt: 0.0000 0.0000 0.5951  8 Sc 2.86
Pt: 0.0000 0.0000 0.7860  8 Sc 2.85-2.86

Values from the calculation:
* VASP energy: -6.949 eV per atom
* space group: No. 123
* E_form: -1.093 eV/atom

A plane-wave DFT calculation with PBE-GGA was carried out for a relaxed Sc4InPt3 crystal.

Cell: 4.7594 6.7029 9.5240 Å, 90.00 90.00 90.00°
With the nearest neighbours (Å) after each atom.
Fractional coordinates of all 16 atoms:
Sc: 0.5000 0.7641 0.0000  6 Pt 2.86-2.97, 2 In 2.97, 1 Sc 3.16
Sc: 0.5000 0.7641 0.5000  6 Pt 2.86-2.97, 2 In 2.97, 1 Sc 3.16
Sc: 0.5000 0.2359 0.0000  6 Pt 2.86-2.97, 2 In 2.97, 1 Sc 3.16
Sc: 0.5000 0.2359 0.5000  6 Pt 2.86-2.97, 2 In 2.97, 1 Sc 3.16
Sc: 0.0010 0.7640 0.7500  6 Pt 2.85-2.97, 2 In 2.97, 1 Sc 3.16
Sc: 0.9990 0.7640 0.2500  6 Pt 2.85-2.97, 2 In 2.97, 1 Sc 3.16
Sc: 0.9990 0.2360 0.2500  6 Pt 2.85-2.97, 2 In 2.97, 1 Sc 3.16
Sc: 0.0010 0.2360 0.7500  6 Pt 2.85-2.97, 2 In 2.97, 1 Sc 3.16
Pt: 0.0000 0.0000 0.0000  8 Sc 2.86
Pt: 0.0000 0.0000 0.5000  8 Sc 2.86
Pt: 0.5019 0.0000 0.7500  8 Sc 2.85-2.86
Pt: 0.4981 0.0000 0.2500  8 Sc 2.85-2.86
Pt: 0.5006 0.5000 0.7500  8 Sc 2.96-2.97
Pt: 0.4994 0.5000 0.2500  8 Sc 2.96-2.97
In: 0.0000 0.5000 0.0000  8 Sc 2.97
In: 0.0000 0.5000 0.5000  8 Sc 2.97

Values from the calculation:
* VASP energy: -6.784 eV per atom
* space group: No. 51
* E_form: -1.010 eV/atom

A plane-wave DFT calculation with PBE-GGA was carried out for a relaxed ScInPt crystal.

Cell: 4.5587 4.5587 4.5587 Å, 60.00 60.00 60.00°
With the nearest neighbours (Å) after each atom.
Fractional coordinates of all 3 atoms:
In: 0.5000 0.5000 0.5000  4 Pt 2.79
Pt: 0.7500 0.7500 0.7500  4 In 2.79, 4 Sc 2.79
Sc: 0.0000 0.0000 0.0000  4 Pt 2.79

Values from the calculation:
* VASP energy: -5.849 eV per atom
* space group: No. 216
* E_form: -0.812 eV/atom

A plane-wave DFT calculation with PBE-GGA was carried out for a relaxed Sc4In3Pt crystal.

Cell: 3.2674 3.2674 16.0493 Å, 90.00 90.00 90.00°
With the nearest neighbours (Å) after each atom.
Fractional coordinates of all 8 atoms:
Sc: 0.0000 0.0000 0.8960  4 Pt 2.85, 4 In 3.15
Sc: 0.0000 0.0000 0.1040  4 Pt 2.85, 4 In 3.15
Sc: 0.0000 0.0000 0.3684  8 In 3.12-3.13, 4 Sc 3.27
Sc: 0.0000 0.0000 0.6316  8 In 3.12-3.13, 4 Sc 3.27
Pt: 0.5000 0.5000 0.0000  8 Sc 2.85
In: 0.5000 0.5000 0.2373  8 Sc 3.12-3.15, 4 In 3.27
In: 0.5000 0.5000 0.5000  8 Sc 3.13, 4 In 3.27
In: 0.5000 0.5000 0.7627  8 Sc 3.12-3.15, 4 In 3.27

Values from the calculation:
* VASP energy: -5.580 eV per atom
* space group: No. 123
* E_form: -0.632 eV/atom

A plane-wave DFT calculation with PBE-GGA was carried out for a relaxed ScInPt crystal.

Cell: 4.6405 4.6405 3.1571 Å, 90.00 90.00 120.00°
With the nearest neighbours (Å) after each atom.
Fractional coordinates of all 3 atoms:
In: 0.0000 0.0000 0.1671  3 Pt 2.68
Pt: 0.6667 0.3333 0.1661  3 In 2.68
Sc: 0.3333 0.6667 0.6668  6 Pt 3.11, 6 In 3.11, 2 Sc 3.16

Values from the calculation:
* VASP energy: -5.767 eV per atom
* space group: No. 187
* E_form: -0.730 eV/atom

A plane-wave DFT calculation with PBE-GGA was carried out for a relaxed Sc3InPt4 crystal.

Cell: 4.6818 6.5706 9.3533 Å, 90.00 90.00 90.00°
With the nearest neighbours (Å) after each atom.
Fractional coordinates of all 16 atoms:
Sc: 0.0000 0.0000 0.0000  8 Pt 2.82
Sc: 0.0000 0.0000 0.5000  8 Pt 2.82
Sc: 0.5127 0.0000 0.7500  8 Pt 2.80-2.85
Sc: 0.4873 0.0000 0.2500  8 Pt 2.80-2.85
Sc: 0.5138 0.5000 0.7500  8 Pt 2.87-2.92
Sc: 0.4862 0.5000 0.2500  8 Pt 2.87-2.92
Pt: 0.5000 0.7604 0.0000  6 Sc 2.82-2.90, 2 In 2.90, 1 Pt 3.15
Pt: 0.5000 0.7604 0.5000  6 Sc 2.82-2.90, 2 In 2.90, 1 Pt 3.15
Pt: 0.5000 0.2396 0.0000  6 Sc 2.82-2.90, 2 In 2.90, 1 Pt 3.15
Pt: 0.5000 0.2396 0.5000  6 Sc 2.82-2.90, 2 In 2.90, 1 Pt 3.15
Pt: 0.0201 0.7595 0.7500  6 Sc 2.80-2.92, 2 In 2.90
Pt: 0.9799 0.7595 0.2500  6 Sc 2.80-2.92, 2 In 2.90
Pt: 0.9799 0.2405 0.2500  6 Sc 2.80-2.92, 2 In 2.90
Pt: 0.0201 0.2405 0.7500  6 Sc 2.80-2.92, 2 In 2.90
In: 0.0000 0.5000 0.0000  8 Pt 2.90
In: 0.0000 0.5000 0.5000  8 Pt 2.90

Values from the calculation:
* VASP energy: -6.825 eV per atom
* space group: No. 51
* E_form: -1.088 eV/atom

A plane-wave DFT calculation with PBE-GGA was carried out for a relaxed ScIn2Pt crystal.

Cell: 8.0054 8.0054 6.3340 Å, 50.81 50.81 90.00°
With the nearest neighbours (Å) after each atom.
Fractional coordinates of all 8 atoms:
Sc: 0.5000 0.5000 0.0000  2 Pt 2.84, 4 In 3.16
Sc: 0.2500 0.7500 0.5000  2 Pt 2.84, 4 In 3.16
Pt: 0.0000 0.0000 0.0000  4 In 2.70, 2 Sc 2.84
Pt: 0.7500 0.2500 0.5000  4 In 2.70, 2 Sc 2.84
In: 0.6666 0.1250 0.2500  2 Pt 2.70, 2 In 2.92
In: 0.0834 0.6250 0.2500  2 Pt 2.70, 2 In 2.92
In: 0.3750 0.3334 0.7500  2 Pt 2.70, 2 In 2.92
In: 0.8750 0.9166 0.7500  2 Pt 2.70, 2 In 2.92

Values from the calculation:
* VASP energy: -4.821 eV per atom
* space group: No. 122
* E_form: -0.359 eV/atom

A plane-wave DFT calculation with PBE-GGA was carried out for a relaxed Sc2In2Pt crystal.

Cell: 6.9483 6.9483 4.8223 Å, 90.00 90.00 90.00°
With the nearest neighbours (Å) after each atom.
Fractional coordinates of all 10 atoms:
Sc: 0.3420 0.8420 0.0000  2 Pt 2.62
Sc: 0.8420 0.6580 0.0000  2 Pt 2.62
Sc: 0.6580 0.1580 0.0000  2 Pt 2.62
Sc: 0.1580 0.3420 0.0000  2 Pt 2.62
Pt: 0.0000 0.0000 0.0000  4 Sc 2.62
Pt: 0.5000 0.5000 0.0000  4 Sc 2.62
In: 0.1561 0.6561 0.5000  6 Sc 3.02-3.25, 1 In 3.07
In: 0.6561 0.8439 0.5000  6 Sc 3.02-3.25, 1 In 3.07
In: 0.8439 0.3439 0.5000  6 Sc 3.02-3.25, 1 In 3.07
In: 0.3439 0.1561 0.5000  6 Sc 3.02-3.25, 1 In 3.07

Values from the calculation:
* VASP energy: -5.216 eV per atom
* energy relative to the lowest polymorph listed for this composition: 125.6 meV per atom
* space group: No. 127
* E_form: -0.380 eV/atom

A plane-wave DFT calculation with PBE-GGA was carried out for a relaxed ScIn2Pt3 crystal.

Cell: 4.6995 7.5001 6.4921 Å, 90.00 90.01 71.74°
With the nearest neighbours (Å) after each atom.
Fractional coordinates of all 12 atoms:
Sc: 0.3385 0.3230 0.0000  8 Pt 2.79-2.84
Sc: 0.6615 0.6770 0.0000  8 Pt 2.79-2.84
In: 0.0000 0.0000 0.0000  8 Pt 2.88-2.93
In: 0.0000 0.0000 0.5000  8 Pt 2.83-3.02
In: 0.3325 0.3351 0.5000  8 Pt 2.82-2.91
In: 0.6675 0.6649 0.5000  8 Pt 2.82-2.91
Pt: 0.8252 0.3495 0.7631  3 Sc 2.79-2.81, 5 In 2.82-3.02, 1 Pt 3.08
Pt: 0.5002 0.0000 0.2570  6 In 2.83-2.88, 2 Sc 2.84, 1 Pt 3.15
Pt: 0.1748 0.6505 0.2369  3 Sc 2.79-2.81, 5 In 2.82-3.02, 1 Pt 3.08
Pt: 0.8253 0.3495 0.2369  3 Sc 2.79-2.81, 5 In 2.82-3.02, 1 Pt 3.08
Pt: 0.1747 0.6505 0.7631  3 Sc 2.79-2.81, 5 In 2.82-3.02, 1 Pt 3.08
Pt: 0.4998 0.0000 0.7430  6 In 2.83-2.88, 2 Sc 2.84, 1 Pt 3.15

Values from the calculation:
* VASP energy: -5.732 eV per atom
* space group: No. 65
* E_form: -0.743 eV/atom

A plane-wave DFT calculation with PBE-GGA was carried out for a relaxed Sc4InPt7 crystal.

Cell: 4.9900 8.7697 6.0337 Å, 81.27 65.57 73.47°
With the nearest neighbours (Å) after each atom.
Fractional coordinates of all 12 atoms:
Sc: 0.5910 0.2227 0.5953  8 Pt 2.71-2.94
Sc: 0.4090 0.7773 0.4047  8 Pt 2.71-2.94
Sc: 0.7601 0.6523 0.8276  5 Pt 2.62-2.79
Sc: 0.2399 0.3477 0.1724  5 Pt 2.62-2.79
In: 0.0000 0.0000 0.0000  2 Pt 2.50
Pt: 0.7861 0.9016 0.5262  4 Sc 2.62-2.80, 2 Pt 2.75-2.76
Pt: 0.2139 0.0984 0.4738  4 Sc 2.62-2.80, 2 Pt 2.75-2.76
Pt: 0.0750 0.6798 0.1702  2 Pt 2.71-2.75, 3 Sc 2.79-2.94, 1 In 2.81
Pt: 0.9250 0.3202 0.8298  2 Pt 2.71-2.75, 3 Sc 2.79-2.94, 1 In 2.81
Pt: 0.3640 0.5325 0.7395  5 Sc 2.71-2.79, 2 Pt 2.71
Pt: 0.5000 0.0000 0.0000  2 In 2.50, 2 Pt 2.76
Pt: 0.6360 0.4675 0.2605  5 Sc 2.71-2.79, 2 Pt 2.71

Values from the calculation:
* VASP energy: -6.747 eV per atom
* space group: No. 12
* E_form: -0.884 eV/atom

A plane-wave DFT calculation with PBE-GGA was carried out for a relaxed ScInPt2 crystal.

Cell: 4.5584 4.5584 3.4640 Å, 90.00 90.00 90.01°
With the nearest neighbours (Å) after each atom.
Fractional coordinates of all 4 atoms:
Sc: 0.5000 0.0000 0.5000  8 Pt 2.86
Pt: 0.0000 0.0000 0.0000  4 Sc 2.86, 4 In 2.86
Pt: 0.5000 0.5000 0.0000  4 In 2.86, 4 Sc 2.86
In: 0.0000 0.5000 0.5000  8 Pt 2.86

Values from the calculation:
* VASP energy: -6.146 eV per atom
* space group: No. 123
* E_form: -0.858 eV/atom

A plane-wave DFT calculation with PBE-GGA was carried out for a relaxed ScIn2Pt crystal.

Cell: 4.6967 3.4478 5.3050 Å, 81.42 90.00 90.00°
With the nearest neighbours (Å) after each atom.
Fractional coordinates of all 4 atoms:
In: 0.0000 0.0845 0.0118  2 Pt 2.77, 2 In 2.84-2.92, 2 Sc 3.04
In: 0.0000 0.4155 0.4882  2 Pt 2.77, 2 In 2.84-2.92, 2 Sc 3.04
Pt: 0.5000 0.2500 0.2500  4 In 2.77, 2 Sc 2.94
Sc: 0.5000 0.7500 0.7500  2 Pt 2.94, 4 In 3.04

Values from the calculation:
* VASP energy: -4.896 eV per atom
* space group: No. 10
* E_form: -0.434 eV/atom

A plane-wave DFT calculation with PBE-GGA was carried out for a relaxed ScIn2Pt crystal.

Cell: 8.8222 8.8222 8.8222 Å, 23.37 23.37 23.37°
With the nearest neighbours (Å) after each atom.
Fractional coordinates of all 4 atoms:
In: 0.0016 0.0016 0.0016  9 In 3.23-3.57, 3 Sc 3.25
In: 0.2382 0.2382 0.2382  3 Pt 2.86
Pt: 0.4944 0.4944 0.4944  3 Sc 2.61, 3 In 2.86
Sc: 0.7657 0.7657 0.7657  3 Pt 2.61

Values from the calculation:
* VASP energy: -4.867 eV per atom
* space group: No. 160
* E_form: -0.404 eV/atom

A plane-wave DFT calculation with PBE-GGA was carried out for a relaxed Sc2In2Pt crystal.

Cell: 7.0943 7.0943 4.2836 Å, 90.00 90.00 90.00°
With the nearest neighbours (Å) after each atom.
Fractional coordinates of all 10 atoms:
Sc: 0.1662 0.6662 0.5000  6 In 2.89-3.06
Sc: 0.6662 0.8338 0.5000  6 In 2.89-3.06
Sc: 0.8338 0.3338 0.5000  6 In 2.89-3.06
Sc: 0.3338 0.1662 0.5000  6 In 2.89-3.06
Pt: 0.0000 0.0000 0.0000  4 In 2.74
Pt: 0.5000 0.5000 0.0000  4 In 2.74
In: 0.3593 0.8593 0.0000  2 Pt 2.74, 1 In 2.82, 6 Sc 2.89-3.06
In: 0.8593 0.6407 0.0000  2 Pt 2.74, 1 In 2.82, 6 Sc 2.89-3.06
In: 0.6407 0.1407 0.0000  2 Pt 2.74, 1 In 2.82, 6 Sc 2.89-3.06
In: 0.1407 0.3593 0.0000  2 Pt 2.74, 1 In 2.82, 6 Sc 2.89-3.06

Values from the calculation:
* VASP energy: -5.341 eV per atom
* energy relative to the lowest polymorph listed for this composition: 0.0 meV per atom
* space group: No. 127
* E_form: -0.505 eV/atom

A plane-wave DFT calculation with PBE-GGA was carried out for a relaxed ScIn2Pt2 crystal.

Cell: 8.0631 8.0631 2.9769 Å, 90.00 90.00 90.00°
With the nearest neighbours (Å) after each atom.
Fractional coordinates of all 10 atoms:
Sc: 0.0000 0.0000 0.0000  2 Sc 2.98, 4 In 3.16
Sc: 0.5000 0.5000 0.0000  2 Sc 2.98, 4 In 3.16
Pt: 0.1694 0.6694 0.5000  6 In 2.73-2.86, 2 Pt 2.98
Pt: 0.6694 0.8306 0.5000  6 In 2.73-2.86, 2 Pt 2.98
Pt: 0.8306 0.3306 0.5000  6 In 2.73-2.86, 2 Pt 2.98
Pt: 0.3306 0.1694 0.5000  6 In 2.73-2.86, 2 Pt 2.98
In: 0.3696 0.8696 0.0000  6 Pt 2.73-2.86, 3 In 2.97-2.98
In: 0.8696 0.6304 0.0000  6 Pt 2.73-2.86, 3 In 2.97-2.98
In: 0.6304 0.1304 0.0000  6 Pt 2.73-2.86, 3 In 2.97-2.98
In: 0.1304 0.3696 0.0000  6 Pt 2.73-2.86, 3 In 2.97-2.98

Values from the calculation:
* VASP energy: -5.254 eV per atom
* energy relative to the lowest polymorph listed for this composition: 300.2 meV per atom
* space group: No. 127
* E_form: -0.476 eV/atom

A plane-wave DFT calculation with PBE-GGA was carried out for a relaxed ScInPt2 crystal.

Cell: 5.2118 5.2118 4.0341 Å, 67.22 67.22 45.52°
With the nearest neighbours (Å) after each atom.
Fractional coordinates of all 4 atoms:
Sc: 0.5000 0.5000 0.5000  8 Pt 2.85-2.97, 4 In 2.97
Pt: 0.0001 0.0001 0.9999  4 Sc 2.85, 4 In 2.97, 4 Pt 2.97
Pt: 0.7501 0.7501 0.7499  4 In 2.85, 4 Sc 2.97, 4 Pt 2.97
In: 0.2500 0.2500 0.2501  8 Pt 2.85-2.97, 4 Sc 2.97

Values from the calculation:
* VASP energy: -6.152 eV per atom
* space group: No. 119
* E_form: -0.864 eV/atom